1.
RbCu2HgSb | PBEsol | optimized geometry

Calculated values
DFT total energy: -0.09062 hartree per atom
formation energy without anion corrections: 0.498 eV per atom

Cell: 5.0275 5.0275 5.4705 Å, 90.00 90.00 90.00°
Closest atoms and distances in Å follow each position.
Element x y z (fractional)
Rb 0.0000 0.0000 0.0000  4 Sb 3.56, 8 Cu 3.71
Cu 0.0000 0.5000 0.5000  2 Hg 2.51
Cu 0.5000 0.0000 0.5000  2 Hg 2.51
Hg 0.5000 0.5000 0.5000  4 Cu 2.51, 2 Sb 2.74
Sb 0.5000 0.5000 0.0000  2 Hg 2.74

=====

2.
TaRh2W | PBEsol | optimized geometry

Calculated values
ΔH_f (0 K): -29 meV/atom
DFT total energy: -0.39278 hartree per atom

Cell: 9.2389 9.2389 9.2389 Å, 17.29 17.29 17.29°
Closest atoms and distances in Å follow each position.
Element x y z (fractional)
Ta 0.0000 0.0000 0.0000  3 Rh 2.70, 6 Ta 2.78, 3 W 2.99
Rh 0.2537 0.2537 0.2537  3 Ta 2.70, 9 Rh 2.78-2.81
Rh 0.5026 0.5026 0.5026  3 W 2.64, 9 Rh 2.78-2.81
W 0.7591 0.7591 0.7591  3 Rh 2.64, 6 W 2.78

=====

3.
Al2PCl | PBEsol | optimized geometry

Calculated values
DFT total energy: -0.14917 hartree per atom
formation energy without anion corrections: -0.064 eV per atom

Cell: 3.3312 3.3312 7.2208 Å, 90.00 90.00 114.40°
Closest atoms and distances in Å follow each position.
Element x y z (fractional)
Al 0.0000 0.0000 0.2185  2 P 2.40
Al 0.0000 0.0000 0.7815  2 P 2.40
P 0.5000 0.5000 0.0000  4 Al 2.40
Cl 0.5000 0.5000 0.5000  4 Al 2.72

=====

4.
LiAu5 | PBEsol | optimized geometry

Calculated values
ΔH_f (0 K): -211 meV/atom
DFT total energy: -0.13996 hartree per atom

Cell: 4.9363 4.9363 4.6793 Å, 90.00 90.00 120.00°
Closest atoms and distances in Å follow each position.
Element x y z (fractional)
Li 0.0000 0.0000 0.0000  12 Au 2.85
Au 0.0000 0.6701 0.5000  10 Au 2.82-2.87, 2 Li 2.85
Au 0.3299 0.3299 0.5000  10 Au 2.82-2.87, 2 Li 2.85
Au 0.3333 0.6667 0.0000  3 Li 2.85, 9 Au 2.85-2.87
Au 0.6667 0.3333 0.0000  3 Li 2.85, 9 Au 2.85-2.87
Au 0.6701 0.0000 0.5000  10 Au 2.82-2.87, 2 Li 2.85